w) SbMoI2N | PBE | optimized geometry

* crystal system: tetragonal

Cell lengths 4.8380, 4.8380, 4.9865 Å; angles 90.00, 90.00, 90.00 degrees
Closest atoms and distances in Å follow each position.
Space group P4/mmm (No. 123)
Inequivalent atoms, fractional coordinates:
1 Sb 0.0000 0.0000 0.0000 [1 per cell]  2 N 2.49
2 Mo 0.5000 0.5000 0.0000 [1 per cell]  4 Sb 3.42, 8 I 3.47
3 I 0.0000 0.5000 0.5000 [2 per cell]  2 N 2.42
4 N 0.0000 0.0000 0.5000 [1 per cell]  4 I 2.42, 2 Sb 2.49

---

x) SbMoI2N | PBE | optimized geometry

* crystal system: tetragonal

Cell lengths 6.1967, 6.1967, 3.9803 Å; angles 90.00, 90.00, 90.00 degrees
Closest atoms and distances in Å follow each position.
Space group P4/mmm (No. 123)
Inequivalent atoms, fractional coordinates:
1 Sb 0.0000 0.0000 0.0000 [1 per cell]  2 N 1.99
2 Mo 0.5000 0.5000 0.5000 [1 per cell]  8 I 3.68, 2 Mo 3.98
3 I 0.0000 0.5000 0.0000 [2 per cell]  2 Sb 3.10
4 N 0.0000 0.0000 0.5000 [1 per cell]  2 Sb 1.99

---

y) SbMoI2N | PBE | optimized geometry

* crystal system: tetragonal

Cell lengths 5.3194, 5.3194, 5.2931 Å; angles 90.00, 90.00, 90.00 degrees
Closest atoms and distances in Å follow each position.
Space group P4/mmm (No. 123)
Inequivalent atoms, fractional coordinates:
1 Sb 0.0000 0.0000 0.0000 [1 per cell]  2 Mo 2.65
2 Mo 0.0000 0.0000 0.5000 [1 per cell]  2 Sb 2.65, 4 I 2.66
3 I 0.0000 0.5000 0.5000 [2 per cell]  2 Mo 2.66
4 N 0.5000 0.5000 0.0000 [1 per cell]  8 I 3.75, 4 Sb 3.76

---

z) SbMoI2N | PBE | optimized geometry

* crystal system: tetragonal

Cell lengths 5.7245, 5.7245, 3.8346 Å; angles 90.00, 90.00, 90.00 degrees
Closest atoms and distances in Å follow each position.
Space group P4/mmm (No. 123)
Inequivalent atoms, fractional coordinates:
1 Sb 0.0000 0.0000 0.0000 [1 per cell]  8 I 3.45, 2 Sb 3.83
2 Mo 0.5000 0.5000 0.5000 [1 per cell]  2 N 1.92
3 I 0.0000 0.5000 0.5000 [2 per cell]  2 Mo 2.86
4 N 0.5000 0.5000 0.0000 [1 per cell]  2 Mo 1.92

---

Each structure's energy above the most stable one, in eV/atom: w) 0.949; x) 0.808; y) 1.257; z) 0.000.